Ac2NdMg | PBE | optimized geometry

abc: 3.7096 3.7096 13.1398
angles: 81.89 81.89 60.00
Fractional positions:
Ac (0.9075, 0.9075, 0.2776)
Ac (0.0925, 0.0925, 0.7224)
Nd (0.0000, 0.0000, 0.0000)
Mg (0.5000, 0.5000, 0.5000)

Results
E_form ... 0.25 eV/atom
Polymorph energy (0 for the lowest one) ... 273.5 meV/atom
Total magnetic moment ... 0.00 μB per cell
SG ... No. 166